Entry 1:
This record from Alexandria via LeMat-Bulk describes Sr4LaPt after structural relaxation. The functional is GGA-PBE.

Calculated values
**Theoretical density**: 4.56 g/cm³
**Calculated formation energy**: 605 meV per atom

abc: 7.064 7.064 7.064
angles: 60.00 60.00 60.00
Atoms (fractional coordinates):
Sr 0.125 0.125 0.125
Sr 0.125 0.125 0.625
Sr 0.125 0.625 0.125
Sr 0.625 0.125 0.125
La 0.500 0.500 0.500
Pt 0.750 0.750 0.750

Entry 2:
This record from Alexandria via LeMat-Bulk describes DyPaAsO2 after structural relaxation. The functional is GGA-PBE.

Calculated values
**Theoretical density**: 9.49 g/cm³
**ΔE_f (raw)**: -13.39 eV per formula unit

abc: 6.623 6.623 6.623
angles: 146.63 146.63 47.91
Atoms (fractional coordinates):
Dy 0.000 0.000 0.000
Pa 0.710 0.710 0.000
As 0.352 0.352 0.000
O 0.107 0.607 0.500
O 0.607 0.107 0.500

Entry 3:
This record from Alexandria via LeMat-Bulk describes Tb3HoNi2 after structural relaxation. The functional is GGA-PBE.

Calculated values
**Theoretical density**: 8.49 g/cm³
**Calculated formation energy**: -289 meV per atom

abc: 8.293 8.293 11.377
angles: 122.31 122.31 27.02
Atoms (fractional coordinates):
Tb 0.082 0.082 0.440
Tb 0.082 0.082 0.941
Tb 0.345 0.345 0.253
Tb 0.655 0.655 0.747
Tb 0.918 0.918 0.059
Tb 0.918 0.918 0.560
Ho 0.345 0.345 0.753
Ho 0.655 0.655 0.247
Ni 0.268 0.268 0.450
Ni 0.269 0.269 0.949
Ni 0.731 0.731 0.051
Ni 0.732 0.732 0.550

Entry 4:
This record from Alexandria via LeMat-Bulk describes Ti2H2O3 after structural relaxation. The functional is GGA-PBE.

Calculated values
**Theoretical density**: 3.18 g/cm³
**DFT total energy**: -49.54 eV for the cell shown

abc: 3.120 3.120 9.031
angles: 90.00 90.00 120.00
Atoms (fractional coordinates):
Ti 0.333 0.667 0.120
Ti 0.667 0.333 0.880
H 0.333 0.667 0.641
H 0.667 0.333 0.359
O 0.000 0.000 0.000
O 0.333 0.667 0.751
O 0.667 0.333 0.249

Entry 5:
This record from Alexandria via LeMat-Bulk describes ZnIrOsC2 after structural relaxation. The functional is GGA-PBE.

Calculated values
**Theoretical density**: 10.21 g/cm³
**Calculated formation energy**: 2014 meV per atom

abc: 3.866 3.866 5.135
angles: 90.00 90.00 90.00
Atoms (fractional coordinates):
Zn 0.000 0.000 0.000
Ir 0.000 0.000 0.500
Os 0.500 0.500 0.000
C 0.000 0.500 0.500
C 0.500 0.000 0.500

Entry 6:
This record from Alexandria via LeMat-Bulk describes LaYTeIr after structural relaxation. The functional is GGA-PBE.

Calculated values
**Theoretical density**: 7.90 g/cm³
**ΔE_f (raw)**: -4.21 eV per formula unit

abc: 7.926 7.926 7.926
angles: 30.70 30.70 30.70
Atoms (fractional coordinates):
La 0.000 0.000 0.000
Y 0.805 0.805 0.805
Te 0.230 0.230 0.230
Ir 0.404 0.404 0.404

Entry 7:
This record from Alexandria via LeMat-Bulk describes K2LaPt after structural relaxation. The functional is GGA-PBE.

Calculated values
**Theoretical density**: 3.89 g/cm³
**Calculated formation energy**: -381 meV per atom

abc: 4.228 3.976 10.685
angles: 90.00 101.34 90.00
Atoms (fractional coordinates):
K 0.000 0.000 0.000
K 0.310 0.500 0.628
La 0.660 0.000 0.321
Pt 0.147 0.500 0.296

Entry 8:
This record from Alexandria via LeMat-Bulk describes CeGaTc2Ge2 after structural relaxation. The functional is GGA-PBE.

Calculated values
**Theoretical density**: 7.74 g/cm³
**Calculated formation energy**: -51 meV per atom

abc: 4.605 4.605 5.577
angles: 90.00 90.00 90.00
Atoms (fractional coordinates):
Ce 0.000 0.000 0.000
Ga 0.000 0.000 0.500
Tc 0.000 0.500 0.500
Tc 0.500 0.000 0.500
Ge 0.500 0.500 0.243
Ge 0.500 0.500 0.757

Copy entry 7 word for word.
This record from Alexandria via LeMat-Bulk describes K2LaPt after structural relaxation. The functional is GGA-PBE.

Calculated values
**Theoretical density**: 3.89 g/cm³
**Calculated formation energy**: -381 meV per atom

abc: 4.228 3.976 10.685
angles: 90.00 101.34 90.00
Atoms (fractional coordinates):
K 0.000 0.000 0.000
K 0.310 0.500 0.628
La 0.660 0.000 0.321
Pt 0.147 0.500 0.296